The following is a PBE calculation of a relaxed structure of ScTa2Ru, from Alexandria via LeMat-Bulk.

Properties
The crystal system is monoclinic. The electronic total energy comes out at -39.56 eV per formula unit. The calculation puts the total magnetization at 0.00 μB/atom. The value obtained for the energy relative to the elements is -0.061 eV/atom.

Lattice parameters (Å, degrees): 2.9592 4.4511 5.4880 90.00 102.73 90.00
Closest atoms and distances in Å follow each position.
Element x y z (fractional)
1 Sc 0.0000 0.0000 0.0000  2 Ru 2.75, 4 Ta 2.81-2.90, 2 Sc 2.96
2 Ta 0.4178 0.0000 0.5198  2 Ru 2.70, 2 Sc 2.81-2.85, 4 Ta 2.85-2.96
3 Ta 0.7017 0.5000 0.2657  2 Ru 2.78-2.85, 4 Ta 2.85-2.96, 2 Sc 2.90
4 Ru 0.2211 0.5000 0.7547  4 Ta 2.70-2.85, 2 Sc 2.75, 2 Ru 2.96